Entry 1:
DFT (PBE-GGA) results for FeHg2P after structural relaxation.

## Properties
Formation energy ... 612 meV per atom
N(E_F) ... 3.904 states/eV/f.u.
Total energy ... -0.2210 Ry/atom

CIF file:
```
data_FeHg2P
_chemical_formula_sum 'Fe1 Hg2 P1'
_cell_length_a 4.339
_cell_length_b 3.500
_cell_length_c 5.606
_cell_angle_alpha 90.00
_cell_angle_beta 110.96
_cell_angle_gamma 90.00
_symmetry_space_group_name_H-M 'P 1 2/m 1'
_symmetry_Int_Tables_number 10
loop_
_symmetry_equiv_pos_as_xyz
'x,y,z'
'-x,-y,-z'
'-x,y,-z'
'x,-y,z'
loop_
_atom_site_label
_atom_site_type_symbol
_atom_site_fract_x
_atom_site_fract_y
_atom_site_fract_z
_atom_site_occupancy
Fe1 Fe 0.000 0.000 0.000 1
Hg1 Hg 0.000 0.000 0.500 1
Hg2 Hg 0.500 0.500 0.500 1
P1 P 0.500 0.500 0.000 1
```

Entry 2:
DFT (PBE-GGA) results for FeHgP after structural relaxation.

## Properties
Formation energy ... 124 meV per atom
N(E_F) ... 2.292 states/eV/f.u.
Total energy ... -0.3382 Ry/atom
Distance to the lowest polymorph of the same formula ... 0.0000 eV per atom

CIF file:
```
data_FeHgP
_chemical_formula_sum 'Fe1 Hg1 P1'
_cell_length_a 3.0291
_cell_length_b 3.0291
_cell_length_c 6.3134
_cell_angle_alpha 90.00
_cell_angle_beta 90.00
_cell_angle_gamma 120.00
_symmetry_space_group_name_H-M 'P 3 m 1'
_symmetry_Int_Tables_number 156
loop_
_symmetry_equiv_pos_as_xyz
'x,y,z'
'-y,x-y,z'
'-x+y,-x,z'
'-y,-x,z'
'-x+y,y,z'
'x,x-y,z'
loop_
_atom_site_label
_atom_site_type_symbol
_atom_site_fract_x
_atom_site_fract_y
_atom_site_fract_z
_atom_site_occupancy
Fe1 Fe 0.0000 0.0000 0.0000 1
Hg1 Hg 0.6667 0.3333 0.3521 1
P1 P 0.3333 0.6667 0.7882 1
```

Entry 3:
DFT (PBE-GGA) results for FeHgP2 after structural relaxation.

## Properties
Formation energy ... 700 meV per atom
N(E_F) ... 3.732 states/eV/f.u.
Total energy ... -0.3084 Ry/atom

CIF file:
```
data_FeHgP2
_chemical_formula_sum 'Fe2 Hg2 P4'
_cell_length_a 3.768
_cell_length_b 3.768
_cell_length_c 9.408
_cell_angle_alpha 90.00
_cell_angle_beta 90.00
_cell_angle_gamma 90.00
_symmetry_space_group_name_H-M 'I -4 m 2'
_symmetry_Int_Tables_number 119
_symmetry_space_group_name_Hall 'I -4 -2'
loop_
_atom_site_label
_atom_site_type_symbol
_atom_site_fract_x
_atom_site_fract_y
_atom_site_fract_z
_atom_site_occupancy
Fe1 Fe 0.000 0.000 0.000 1
Hg1 Hg 0.000 0.500 0.750 1
P1 P 0.000 0.000 0.500 1
P2 P 0.000 0.500 0.250 1
```

Entry 4:
DFT (PBE-GGA) results for FeHgP2 after structural relaxation.

## Properties
Formation energy ... 502 meV per atom
N(E_F) ... 3.770 states/eV/f.u.
Total energy ... -0.3230 Ry/atom

CIF file:
```
data_FeHgP2
_chemical_formula_sum 'Fe1 Hg1 P2'
_cell_length_a 3.646
_cell_length_b 3.673
_cell_length_c 5.247
_cell_angle_alpha 90.00
_cell_angle_beta 90.11
_cell_angle_gamma 90.00
_symmetry_space_group_name_H-M 'P 1 2/m 1'
_symmetry_Int_Tables_number 10
loop_
_symmetry_equiv_pos_as_xyz
'x,y,z'
'-x,-y,-z'
'-x,y,-z'
'x,-y,z'
loop_
_atom_site_label
_atom_site_type_symbol
_atom_site_fract_x
_atom_site_fract_y
_atom_site_fract_z
_atom_site_occupancy
Fe1 Fe 0.000 0.000 0.000 1
Hg1 Hg 0.500 0.500 0.500 1
P1 P 0.000 0.000 0.500 1
P2 P 0.500 0.500 0.000 1
```

Entry 5:
DFT (PBE-GGA) results for FeHgP2 after structural relaxation.

## Properties
Formation energy ... 269 meV per atom
N(E_F) ... 2.198 states/eV/f.u.
Total energy ... -0.3401 Ry/atom

CIF file:
```
data_FeHgP2
_chemical_formula_sum 'Fe2 Hg2 P4'
_cell_length_a 2.724
_cell_length_b 4.851
_cell_length_c 10.327
_cell_angle_alpha 90.00
_cell_angle_beta 90.00
_cell_angle_gamma 90.00
_symmetry_space_group_name_H-M 'I m m m'
_symmetry_Int_Tables_number 71
_symmetry_space_group_name_Hall '-I 2 2'
loop_
_atom_site_label
_atom_site_type_symbol
_atom_site_fract_x
_atom_site_fract_y
_atom_site_fract_z
_atom_site_occupancy
Fe1 Fe 0.000 0.000 0.000 1
Hg1 Hg 0.000 0.000 0.500 1
P1 P 0.000 0.500 0.322 1
```

Entry 6:
DFT (PBE-GGA) results for FeHgP2 after structural relaxation.

## Properties
Formation energy ... 209 meV per atom
N(E_F) ... 3.096 states/eV/f.u.
Total energy ... -0.3445 Ry/atom

CIF file:
```
data_FeHgP2
_chemical_formula_sum 'Fe1 Hg1 P2'
_cell_length_a 3.546
_cell_length_b 4.000
_cell_length_c 5.563
_cell_angle_alpha 90.00
_cell_angle_beta 106.81
_cell_angle_gamma 90.00
_symmetry_space_group_name_H-M 'P 1 2/m 1'
_symmetry_Int_Tables_number 10
loop_
_symmetry_equiv_pos_as_xyz
'x,y,z'
'-x,-y,-z'
'-x,y,-z'
'x,-y,z'
loop_
_atom_site_label
_atom_site_type_symbol
_atom_site_fract_x
_atom_site_fract_y
_atom_site_fract_z
_atom_site_occupancy
Fe1 Fe 0.000 0.000 0.000 1
Hg1 Hg 0.000 0.000 0.500 1
P1 P 0.314 0.500 0.136 1
```

total energy of number 3 (FeHgP2)?
-0.3084 Ry/atom

N(E_F) of number 5 (FeHgP2)?
2.198 states/eV/f.u.

formation energy of number 1 (FeHg2P)?
612 meV per atom

Repeat the sixth record exactly.
DFT (PBE-GGA) results for FeHgP2 after structural relaxation.

## Properties
Formation energy ... 209 meV per atom
N(E_F) ... 3.096 states/eV/f.u.
Total energy ... -0.3445 Ry/atom

CIF file:
```
data_FeHgP2
_chemical_formula_sum 'Fe1 Hg1 P2'
_cell_length_a 3.546
_cell_length_b 4.000
_cell_length_c 5.563
_cell_angle_alpha 90.00
_cell_angle_beta 106.81
_cell_angle_gamma 90.00
_symmetry_space_group_name_H-M 'P 1 2/m 1'
_symmetry_Int_Tables_number 10
loop_
_symmetry_equiv_pos_as_xyz
'x,y,z'
'-x,-y,-z'
'-x,y,-z'
'x,-y,z'
loop_
_atom_site_label
_atom_site_type_symbol
_atom_site_fract_x
_atom_site_fract_y
_atom_site_fract_z
_atom_site_occupancy
Fe1 Fe 0.000 0.000 0.000 1
Hg1 Hg 0.000 0.000 0.500 1
P1 P 0.314 0.500 0.136 1
```